Record 1
This record from OQMD describes Ta4Sb3W2C3 after structural relaxation. The functional is PBE-GGA.

volume	749	Å³/cell
calculated total energy	-457.26	eV/cell
crystal system	monoclinic
total moment	0.0	μB/f.u.

Lattice parameters (Å, degrees): 9.990 5.770 13.423 90.00 104.51 90.00
Space group C2/c (No. 15)
Symmetry-distinct sites (fractional):
1 Ta 0.112 0.084 0.086 x8
2 Ta 0.221 0.082 0.414 x8
3 Sb 0.000 0.095 0.750 x4
4 Sb 0.161 0.423 0.250 x8
5 W 0.056 0.417 0.921 x8
6 C 0.084 0.249 0.500 x8
7 C 0.250 0.250 0.000 x4

Record 2
This record from OQMD describes PmNdSi2 after structural relaxation. The functional is PBE-GGA.

volume	190	Å³/cell
calculated total energy	-46.93	eV/cell
crystal system	orthorhombic
total moment	0.0	μB/f.u.

Lattice parameters (Å, degrees): 3.931 5.900 8.213 90.00 90.00 90.00
Space group Pmc2_1 (No. 26)
Symmetry-distinct sites (fractional):
1 Pm 0.000 0.136 0.000 x2
2 Nd 0.500 0.364 0.359 x2
3 Si 0.000 0.371 0.645 x2
4 Si 0.500 0.126 0.715 x2

Q: Which of these has the highest calculated total energy?
A: PmNdSi2

Q: Look up the total moment of the first one.
A: 0.0 μB/f.u.

Repeat the first record exactly.
This record from OQMD describes Ta4Sb3W2C3 after structural relaxation. The functional is PBE-GGA.

volume	749	Å³/cell
calculated total energy	-457.26	eV/cell
crystal system	monoclinic
total moment	0.0	μB/f.u.

Lattice parameters (Å, degrees): 9.990 5.770 13.423 90.00 104.51 90.00
Space group C2/c (No. 15)
Symmetry-distinct sites (fractional):
1 Ta 0.112 0.084 0.086 x8
2 Ta 0.221 0.082 0.414 x8
3 Sb 0.000 0.095 0.750 x4
4 Sb 0.161 0.423 0.250 x8
5 W 0.056 0.417 0.921 x8
6 C 0.084 0.249 0.500 x8
7 C 0.250 0.250 0.000 x4